# PBE with a Hubbard U MnHF2, relaxed
# * electronic total energy: -4.9348 eV per atom
# * DOS at the Fermi energy: 0.0 states/eV per cell
# * relative energy among the computed polymorphs: 0.41 eV per formula unit
data_MnHF2
_chemical_formula_sum 'Mn4 H4 F8'
_cell_length_a 5.3873
_cell_length_b 5.3873
_cell_length_c 5.3873
_cell_angle_alpha 90.00
_cell_angle_beta 90.00
_cell_angle_gamma 90.00
_space_group_name_H-M_alt 'P 1'
_space_group_IT_number 1
_space_group_name_Hall 'P 1'
loop_
_atom_site_label
_atom_site_type_symbol
_atom_site_fract_x
_atom_site_fract_y
_atom_site_fract_z
Mn1 Mn 0.0000 0.0000 0.0000
Mn2 Mn 0.0000 0.5000 0.5000
Mn3 Mn 0.5000 0.0000 0.5000
Mn4 Mn 0.5000 0.5000 0.0000
H1 H 0.0000 0.0000 0.5000
H2 H 0.0000 0.5000 0.0000
H3 H 0.5000 0.0000 0.0000
H4 H 0.5000 0.5000 0.5000
F1 F 0.2500 0.2500 0.2500
F2 F 0.2500 0.2500 0.7500
F3 F 0.2500 0.7500 0.2500
F4 F 0.2500 0.7500 0.7500
F5 F 0.7500 0.2500 0.2500
F6 F 0.7500 0.2500 0.7500
F7 F 0.7500 0.7500 0.2500
F8 F 0.7500 0.7500 0.7500